Record 1
Here is an optimized crystal structure of Y2PdCl from Alexandria. Energies are from PBEsol.

POSCAR file:
```
Y2PdCl
1.0
4.946 0.000 0.000
2.473 4.284 0.000
2.473 1.428 4.039
Y Pd Cl
2 1 1
Cartesian
2.473 1.428 1.010
7.420 4.284 3.029
4.946 2.856 2.019
0.000 0.000 0.000
```

Properties
Mass density in g cm⁻³: 6.20
D(E_F) in states/eV per atom: 1.464
Volume in Å³/cell: 85.6
Energy relative to the elements, uncorrected in eV/atom: -0.8093
Symmetry: Fm-3m, No. 225

***

Record 2
Here is an optimized crystal structure of PmCl3 from Alexandria. Energies are from PBEsol.

POSCAR file:
```
PmCl3
1.0
3.697 0.000 0.000
0.000 9.338 0.000
0.000 -4.669 8.087
Cl Pm
6 2
Cartesian
2.773 6.389 1.702
2.773 4.669 4.682
2.773 2.948 1.702
0.924 -1.720 6.384
0.924 0.000 3.404
0.924 1.720 6.384
0.924 4.669 2.696
2.773 0.000 5.391
```

Properties
Mass density in g cm⁻³: 2.99
D(E_F) in states/eV per atom: 0.000
Volume in Å³/cell: 279.2
Energy relative to the elements, uncorrected in eV/atom: -2.1728
Symmetry: P6_3/mmc, No. 194

***

Record 3
Here is an optimized crystal structure of Pr5Cl12 from Alexandria. Energies are from PBEsol.

POSCAR file:
```
Pr5Cl12
1.0
7.928 0.000 0.000
-3.964 6.866 0.000
0.000 0.000 23.173
Pr Cl
15 36
Cartesian
3.964 2.289 4.943
3.964 2.289 1.014
3.964 2.289 20.199
3.964 2.289 16.317
3.964 2.289 12.445
0.000 0.000 15.032
3.964 2.289 8.727
0.000 0.000 11.587
0.000 0.000 8.141
0.000 4.577 2.974
0.000 4.577 22.159
0.000 4.577 18.231
0.000 4.577 14.446
0.000 4.577 10.728
0.000 4.577 6.856
3.110 4.152 2.987
3.120 4.119 22.181
3.045 4.150 18.206
3.025 4.229 14.390
3.025 4.301 10.625
3.112 4.354 6.898
6.005 2.096 2.987
5.971 2.104 22.181
6.036 2.154 18.206
6.114 2.132 14.390
6.176 2.095 10.625
6.179 1.994 6.898
1.152 6.304 4.968
1.164 6.223 0.993
1.187 6.248 20.187
1.363 6.348 16.275
1.273 6.396 12.548
1.211 6.361 8.783
2.777 0.618 2.987
2.800 0.642 22.181
2.812 0.562 18.206
2.753 0.505 14.390
2.690 0.469 10.625
2.601 0.518 6.898
-2.072 4.712 4.968
-2.007 4.762 0.993
-2.041 4.770 20.187
-2.215 4.872 16.275
-2.212 4.770 12.548
-2.150 4.734 8.783
0.919 2.716 4.968
0.844 2.746 0.993
0.854 2.714 20.187
0.852 2.511 16.275
0.939 2.565 12.548
0.939 2.637 8.783
```

Properties
Mass density in g cm⁻³: 4.46
D(E_F) in states/eV per atom: 0.310
Volume in Å³/cell: 1261.3
Energy relative to the elements, uncorrected in eV/atom: -2.1135
Symmetry: P-3, No. 147

***

Record 4
Here is an optimized crystal structure of Rb2PrCl5 from Alexandria. Energies are from PBEsol.

POSCAR file:
```
Rb2PrCl5
1.0
-6.316 1.646 4.906
4.931 -2.056 7.038
3.932 12.456 0.883
Rb Pr Cl
8 4 20
Cartesian
1.575 8.263 6.800
5.399 9.370 4.557
3.387 2.777 9.474
-5.268 3.683 4.823
7.815 8.363 8.004
-0.840 9.270 3.353
-2.853 2.676 8.270
0.972 3.784 6.027
2.760 5.903 2.564
3.990 11.788 8.967
-0.214 6.143 10.264
-1.443 0.259 3.860
-0.337 12.536 4.372
5.948 5.453 8.045
0.840 0.363 5.538
-1.357 5.741 7.701
2.884 -0.489 8.456
-3.401 6.594 4.783
1.707 11.683 7.290
3.903 6.305 5.127
-2.001 2.724 4.971
4.191 2.675 6.164
4.548 9.322 7.857
-1.645 9.372 6.663
1.828 12.291 10.629
0.634 6.518 4.233
0.718 -0.244 2.199
1.913 5.528 8.594
2.209 10.018 4.152
1.122 8.564 10.035
0.337 2.028 8.676
1.425 3.482 2.792
```

Properties
Mass density in g cm⁻³: 3.44
D(E_F) in states/eV per atom: 0.000
Volume in Å³/cell: 944.5
Energy relative to the elements, uncorrected in eV/atom: -2.1713
Symmetry: Pnma, No. 62